No. 1
Ce3Be2Si3 | PBE-GGA | relaxed

POSCAR file:
```
Ce3Be2Si3
1.0
1.943 -5.394 0.000
1.943 5.394 0.000
0.000 0.000 14.851
Ce Be Si
6 4 6
Direct
0.036 0.964 0.750 Ce
0.349 0.651 0.594 Ce
0.349 0.651 0.906 Ce
0.651 0.349 0.094 Ce
0.651 0.349 0.406 Ce
0.964 0.036 0.250 Ce
0.365 0.635 0.119 Be
0.365 0.635 0.381 Be
0.635 0.365 0.619 Be
0.635 0.365 0.881 Be
0.076 0.924 0.557 Si
0.076 0.924 0.943 Si
0.246 0.754 0.250 Si
0.754 0.246 0.750 Si
0.924 0.076 0.057 Si
0.924 0.076 0.443 Si
```

Energy relative to the elements, uncorrected in kcal/mol of atoms: -11.92
E in eV per atom: -5.707
ΔE to the lowest computed polymorph in meV/atom: 0

=====

No. 2
Sm3Cu2Ge4 | PBE-GGA | relaxed

POSCAR file:
```
Sm3Cu2Ge4
1.0
5.488 -2.103 0.000
5.488 2.103 0.000
-1.684 0.000 8.136
Sm Cu Ge
3 2 4
Direct
0.000 0.000 0.000 Sm
0.339 0.339 0.332 Sm
0.661 0.661 0.668 Sm
0.389 0.389 0.715 Cu
0.611 0.611 0.285 Cu
0.063 0.063 0.387 Ge
0.287 0.287 0.939 Ge
0.713 0.713 0.061 Ge
0.937 0.937 0.613 Ge
```

Energy relative to the elements in eV per atom: -0.71
E in eV per atom: -5.249

=====

No. 3
Y2Zr2Cu | PBE-GGA | relaxed

POSCAR file:
```
Y2Zr2Cu
1.0
7.001 0.000 0.000
0.000 7.001 0.000
0.000 0.000 5.129
Y Zr Cu
4 4 2
Direct
0.167 0.333 0.000 Y
0.333 0.833 0.000 Y
0.667 0.167 0.000 Y
0.833 0.667 0.000 Y
0.142 0.642 0.500 Zr
0.358 0.142 0.500 Zr
0.642 0.858 0.500 Zr
0.858 0.358 0.500 Zr
0.000 0.000 0.500 Cu
0.500 0.500 0.500 Cu
```

Energy relative to the elements in eV per atom: 0.18
E in eV per atom: -6.645
ΔE to the lowest computed polymorph in meV/atom: 0

=====

No. 4
BC2 | PBE-GGA | relaxed

POSCAR file:
```
BC2
1.0
6.517 -1.277 0.000
6.517 1.277 0.000
-1.151 0.000 4.562
B C
4 8
Direct
0.000 0.000 0.000 B
0.010 0.010 0.652 B
0.187 0.187 0.536 B
0.857 0.857 0.818 B
0.143 0.143 0.846 C
0.312 0.312 0.604 C
0.351 0.351 0.324 C
0.472 0.472 0.440 C
0.528 0.528 0.205 C
0.644 0.644 0.307 C
0.688 0.688 0.029 C
0.814 0.814 0.127 C
```

Energy relative to the elements in eV per atom: 0.33
E in eV per atom: -8.047
ΔE to the lowest computed polymorph in meV/atom: 88

=====

No. 5
Ba2BeSe4 | PBE-GGA | relaxed

POSCAR file:
```
Ba2BeSe4
1.0
-2.343 2.343 8.764
2.343 -2.343 8.764
2.343 2.343 -8.764
Ba Be Se
2 1 4
Direct
0.146 0.146 0.000 Ba
0.854 0.854 0.000 Ba
0.500 0.500 0.000 Be
0.000 0.500 0.500 Se
0.334 0.334 0.000 Se
0.500 0.000 0.500 Se
0.666 0.666 0.000 Se
```

Energy relative to the elements, uncorrected in kcal/mol of atoms: -25.62
E in eV per atom: -4.184

=====

No. 6
La2HfMg | PBE-GGA | relaxed

POSCAR file:
```
La2HfMg
1.0
-2.269 2.269 11.382
2.269 -2.269 11.382
2.269 2.269 -11.382
La Hf Mg
4 2 2
Direct
0.098 0.625 0.973 La
0.375 0.348 0.473 La
0.652 0.125 0.027 La
0.875 0.902 0.527 La
0.000 0.000 0.000 Hf
0.750 0.250 0.500 Hf
0.250 0.750 0.500 Mg
0.500 0.500 0.000 Mg
```

Energy relative to the elements in eV per atom: 0.57
E in eV per atom: -4.784

=====

No. 7
Sm12Ag2Hg5 | PBE-GGA | relaxed

POSCAR file:
```
Sm12Ag2Hg5
1.0
6.418 -5.267 0.000
6.418 5.267 0.000
-1.635 0.000 8.156
Sm Ag Hg
12 2 5
Direct
0.008 0.666 0.186 Sm
0.100 0.100 0.155 Sm
0.172 0.615 0.608 Sm
0.334 0.992 0.814 Sm
0.385 0.828 0.392 Sm
0.395 0.395 0.261 Sm
0.605 0.605 0.739 Sm
0.615 0.172 0.608 Sm
0.666 0.008 0.186 Sm
0.828 0.385 0.392 Sm
0.900 0.900 0.845 Sm
0.992 0.334 0.814 Sm
0.272 0.728 0.000 Ag
0.728 0.272 0.000 Ag
0.000 0.000 0.500 Hg
0.233 0.233 0.507 Hg
0.371 0.371 0.879 Hg
0.629 0.629 0.121 Hg
0.767 0.767 0.493 Hg
```

Energy relative to the elements in eV per atom: -0.21
E in eV per atom: -3.567

=====

No. 8
SrCa2GeN | PBE-GGA | relaxed

POSCAR file:
```
SrCa2GeN
1.0
4.828 0.000 0.000
0.000 4.828 0.000
0.000 0.000 5.207
Sr Ca Ge N
1 2 1 1
Direct
0.000 0.000 0.000 Sr
0.000 0.500 0.500 Ca
0.500 0.000 0.500 Ca
0.500 0.500 0.000 Ge
0.000 0.000 0.500 N
```

Energy relative to the elements, uncorrected in kcal/mol of atoms: -15.19
E in eV per atom: -4.384